Record 1
# TbSm2InN4 GGA-PBE optimized geometry
# Uncorrected formation energy   -8.5 eV per formula unit
data_TbSm2InN4
_space_group_name_H-M_alt 'P 1 2/m 1'
_space_group_IT_number 10
_space_group_name_Hall '-P 2y'
_cell_length_a 6.0878
_cell_length_b 3.5181
_cell_length_c 6.1128
_cell_angle_alpha 90.00
_cell_angle_beta 110.78
_cell_angle_gamma 90.00
loop_
_atom_site_label
_atom_site_type_symbol
_atom_site_fract_x
_atom_site_fract_y
_atom_site_fract_z
Tb1 Tb 0.0000 0.0000 0.0000
Sm1 Sm 0.5000 0.0000 0.5000
Sm2 Sm 0.5000 0.5000 0.0000
In1 In 0.0000 0.5000 0.5000
N1 N 0.2427 0.0000 0.7469
N2 N 0.2524 0.5000 0.2398

***

Record 2
# Sm2ThInN GGA-PBE optimized geometry
# Uncorrected formation energy   -4.3 eV per formula unit
data_Sm2ThInN
_space_group_name_H-M_alt 'P 4/m m m'
_space_group_IT_number 123
_space_group_name_Hall '-P 4 2'
_cell_length_a 5.0184
_cell_length_b 5.0184
_cell_length_c 4.8897
_cell_angle_alpha 90.00
_cell_angle_beta 90.00
_cell_angle_gamma 90.00
loop_
_atom_site_label
_atom_site_type_symbol
_atom_site_fract_x
_atom_site_fract_y
_atom_site_fract_z
Sm1 Sm 0.0000 0.5000 0.0000
Th1 Th 0.0000 0.0000 0.5000
In1 In 0.5000 0.5000 0.5000
N1 N 0.0000 0.0000 0.0000

***

Record 3
# Sm2ThInN4 GGA-PBE optimized geometry
# Uncorrected formation energy   -8.2 eV per formula unit
data_Sm2ThInN4
_space_group_name_H-M_alt 'P 1 2/m 1'
_space_group_IT_number 10
_space_group_name_Hall '-P 2y'
_cell_length_a 6.1222
_cell_length_b 3.5697
_cell_length_c 6.2290
_cell_angle_alpha 90.00
_cell_angle_beta 110.34
_cell_angle_gamma 90.00
loop_
_atom_site_label
_atom_site_type_symbol
_atom_site_fract_x
_atom_site_fract_y
_atom_site_fract_z
Sm1 Sm 0.0000 0.0000 0.0000
Sm2 Sm 0.5000 0.5000 0.0000
Th1 Th 0.0000 0.5000 0.5000
In1 In 0.5000 0.0000 0.5000
N1 N 0.2404 0.0000 0.7504
N2 N 0.2547 0.5000 0.2608

***

Record 4
# SmTh2InN GGA-PBE optimized geometry
# Uncorrected formation energy   -4.0 eV per formula unit
data_SmTh2InN
_space_group_name_H-M_alt 'P 4/m m m'
_space_group_IT_number 123
_space_group_name_Hall '-P 4 2'
_cell_length_a 4.9541
_cell_length_b 4.9541
_cell_length_c 5.0863
_cell_angle_alpha 90.00
_cell_angle_beta 90.00
_cell_angle_gamma 90.00
loop_
_atom_site_label
_atom_site_type_symbol
_atom_site_fract_x
_atom_site_fract_y
_atom_site_fract_z
Sm1 Sm 0.0000 0.0000 0.0000
Th1 Th 0.0000 0.5000 0.5000
In1 In 0.5000 0.5000 0.0000
N1 N 0.0000 0.0000 0.5000

***

Record 5
# SmTm2InN GGA-PBE optimized geometry
# Uncorrected formation energy   -4.9 eV per formula unit
data_SmTm2InN
_space_group_name_H-M_alt 'P 4/m m m'
_space_group_IT_number 123
_space_group_name_Hall '-P 4 2'
_cell_length_a 4.7490
_cell_length_b 4.7490
_cell_length_c 4.9443
_cell_angle_alpha 90.00
_cell_angle_beta 90.00
_cell_angle_gamma 90.00
loop_
_atom_site_label
_atom_site_type_symbol
_atom_site_fract_x
_atom_site_fract_y
_atom_site_fract_z
Sm1 Sm 0.0000 0.0000 0.0000
Tm1 Tm 0.0000 0.5000 0.5000
In1 In 0.5000 0.5000 0.0000
N1 N 0.0000 0.0000 0.5000

***

Record 6
# SmY2InN4 GGA-PBE optimized geometry
# Uncorrected formation energy   -8.9 eV per formula unit
data_SmY2InN4
_space_group_name_H-M_alt 'P 1 2/m 1'
_space_group_IT_number 10
_space_group_name_Hall '-P 2y'
_cell_length_a 6.0230
_cell_length_b 3.4849
_cell_length_c 6.0613
_cell_angle_alpha 90.00
_cell_angle_beta 110.56
_cell_angle_gamma 90.00
loop_
_atom_site_label
_atom_site_type_symbol
_atom_site_fract_x
_atom_site_fract_y
_atom_site_fract_z
Sm1 Sm 0.0000 0.0000 0.0000
Y1 Y 0.0000 0.5000 0.5000
Y2 Y 0.5000 0.0000 0.5000
In1 In 0.5000 0.5000 0.0000
N1 N 0.2461 0.5000 0.2629
N2 N 0.2540 0.0000 0.7492